Computed, not measured: an optimized crystal structure of Ta2Ni2Ge at the GGA-PBE level of DFT.

For the spin magnetization, the calculation gives 0.0 μB/cell. The formation energy comes out at -0.2152 eV per atom.

Cell lengths 6.312, 6.312, 3.672 Å; angles 90.00, 90.00, 90.00 degrees
Fractional positions:
1 Ni 0.368 0.868 0.000
2 Ni 0.132 0.368 0.000
3 Ta 0.171 0.671 0.500
4 Ge 0.500 0.500 0.000
5 Ni 0.868 0.632 0.000
6 Ge 0.000 0.000 0.000
7 Ta 0.329 0.171 0.500
8 Ta 0.829 0.329 0.500
9 Ta 0.671 0.829 0.500
10 Ni 0.632 0.132 0.000